1.
Material: Er2HgIr
Method: DFT, PBE-GGA
State: optimized geometry

The structure belongs to space group P4/mmm (No. 123); the cell edges are 3.4643, 3.4643 and 7.4307 Å and the angles 90.00°, 90.00° and 90.00°. The asymmetric unit holds Er at (0.0000, 0.0000, 0.2208), Hg at (0.5000, 0.5000, 0.5000) and Ir at (0.5000, 0.5000, 0.0000).

As for the total energy: -0.3886 Ry per atom. The total magnetic moment is 0.0015 μB/atom. For the formation enthalpy at 0 K, the calculation gives -717 meV/atom.

***

2.
Material: CsNdI3
Method: DFT, PBE-GGA
State: optimized geometry

The structure belongs to space group Pm-3m (No. 221); the cell edges are 6.2563, 6.2563 and 6.2563 Å and the angles 90.00°, 90.00° and 90.00°. The asymmetric unit holds Cs at (0.0000, 0.0000, 0.0000), Nd at (0.5000, 0.5000, 0.5000) and I at (0.0000, 0.5000, 0.5000).

As for the total energy: -0.2471 Ry per atom. The total magnetic moment is 0.0026 μB/atom.

***

3.
Material: Gd2LuSc3Te2Os
Method: DFT, PBE-GGA
State: optimized geometry

The structure belongs to space group Amm2 (No. 38); the cell edges are 4.0138, 13.8175 and 7.9102 Å and the angles 90.00°, 90.00° and 90.00°. The asymmetric unit holds Gd at (0.0000, 0.1962, 0.0000), Lu at (0.0000, 0.0000, 0.4203), Sc at (0.5000, 0.0000, 0.0300), Sc at (0.5000, 0.1171, 0.6890), Te at (0.5000, 0.1644, 0.3054) and Os at (0.0000, 0.0000, 0.7870).

As for the total energy: -0.4673 Ry per atom. The total magnetic moment is 0.0057 μB/atom.

***

4.
Material: SmY2Ge4Pd4
Method: DFT, PBE-GGA
State: optimized geometry

The structure belongs to space group Immm (No. 71); the cell edges are 4.1946, 7.1606 and 14.0577 Å and the angles 90.00°, 90.00° and 90.00°. The asymmetric unit holds Sm at (0.0000, 0.0000, 0.0000), Y at (0.0000, 0.5000, 0.1259), Ge at (0.0000, 0.0000, 0.2189), Ge at (0.0000, 0.1861, 0.5000) and Pd at (0.0000, 0.2990, 0.3241).

As for the total energy: -0.4478 Ry per atom. The total magnetic moment is 0.0005 μB/atom.

***

5.
Material: SmLuCu
Method: DFT, PBE-GGA
State: optimized geometry

The structure belongs to space group F-43m (No. 216); the cell edges are 6.6971, 6.6971 and 6.6971 Å and the angles 90.00°, 90.00° and 90.00°. The asymmetric unit holds Sm at (0.0000, 0.0000, 0.0000), Lu at (0.2500, 0.2500, 0.7500) and Cu at (0.0000, 0.0000, 0.5000).

For the excess energy over the best structure of this formula in the dataset, the calculation gives 0 meV per atom. As for the total energy: -0.2723 Ry per atom. The total magnetic moment is 0.0137 μB/atom. For the formation enthalpy at 0 K, the calculation gives 613 meV/atom.

***

6.
Material: TcGeAsO
Method: DFT, PBE-GGA
State: optimized geometry

The structure belongs to space group Pmc2_1 (No. 26); the cell edges are 3.1467, 7.2706 and 5.6779 Å and the angles 90.00°, 90.00° and 90.00°. The asymmetric unit holds Tc at (0.0000, 0.0255, 0.0000), Ge at (0.5000, 0.3889, 0.3537), As at (0.5000, 0.1914, 0.7455) and O at (0.0000, 0.2153, 0.2764).

For the excess energy over the best structure of this formula in the dataset, the calculation gives 141 meV per atom. As for the total energy: -0.4748 Ry per atom. The total magnetic moment is 0.0815 μB/atom.

***

7.
Material: Lu2Sc
Method: DFT, PBE-GGA
State: optimized geometry

The structure belongs to space group Fd-3m (No. 227, origin choice 2); the cell edges are 13.3417, 13.3417 and 13.3417 Å and the angles 90.00°, 90.00° and 90.00°. The asymmetric unit holds Lu at (0.0000, 0.0000, 0.0000) and Sc at (0.1250, 0.1250, 0.1250).

For the excess energy over the best structure of this formula in the dataset, the calculation gives 2069 meV per atom. As for the total energy: -0.2000 Ry per atom. The total magnetic moment is 1.6666 μB/atom. For the formation enthalpy at 0 K, the calculation gives 2404 meV/atom.

***

8.
Material: YHoTlFe2
Method: DFT, PBE-GGA
State: optimized geometry

The structure belongs to space group Amm2 (No. 38); the cell edges are 3.9634, 3.7907 and 13.8540 Å and the angles 90.00°, 90.00° and 90.00°. The asymmetric unit holds Y at (0.0000, 0.0000, 0.0000), Ho at (0.0000, 0.0000, 0.2776), Tl at (0.5000, 0.0000, 0.6387), Fe at (0.5000, 0.0000, 0.4265) and Fe at (0.5000, 0.0000, 0.8468).

As for the total energy: -0.4529 Ry per atom. The total magnetic moment is 0.2978 μB/atom.

***

9.
Material: LiTbZnTe3
Method: DFT, PBE-GGA
State: optimized geometry

The structure belongs to space group Pnma (No. 62); the cell edges are 8.6666, 4.3479 and 18.3362 Å and the angles 90.00°, 90.00° and 90.00°. The asymmetric unit holds Li at (0.0399, 0.2500, 0.2493), Tb at (0.2352, 0.2500, 0.5489), Zn at (0.1345, 0.2500, 0.8530), Te at (0.0008, 0.2500, 0.0832), Te at (0.1238, 0.7500, 0.4414) and Te at (0.2096, 0.2500, 0.7172).

For the excess energy over the best structure of this formula in the dataset, the calculation gives 102 meV per atom. As for the total energy: -0.2747 Ry per atom. The total magnetic moment is 0.0000 μB/atom.

***

10.
Material: Y3HgN
Method: DFT, PBE-GGA
State: optimized geometry

The structure belongs to space group Pnma (No. 62); the cell edges are 6.8097, 9.5689 and 6.7895 Å and the angles 90.00°, 90.00° and 90.00°. The asymmetric unit holds Y at (0.0004, 0.2500, 0.0649), Y at (0.2489, 0.0330, 0.7489), Hg at (0.0011, 0.7500, 0.4937) and N at (0.0000, 0.0000, 0.0000).

As for the total energy: -0.4827 Ry per atom. The total magnetic moment is 0.0008 μB/atom.

***

11.
Material: Cd3TePt
Method: DFT, PBE-GGA
State: optimized geometry

The structure belongs to space group P6/mmm (No. 191); the cell edges are 5.6686, 5.6686 and 9.1287 Å and the angles 90.00°, 90.00° and 120.00°. The asymmetric unit holds Cd at (0.0000, 0.5000, 0.1835), Te at (0.3333, 0.6667, 0.5000) and Pt at (0.0000, 0.0000, 0.1426).

As for the total energy: -0.1687 Ry per atom. The total magnetic moment is 0.0000 μB/atom.

***

12.
Material: ZnF2
Method: DFT, PBE-GGA
State: optimized geometry

The structure belongs to space group P2_1/c (No. 14); the cell edges are 3.1804, 4.5735 and 5.4664 Å and the angles 90.00°, 123.01° and 90.00°. The asymmetric unit holds Zn at (0.0000, 0.0000, 0.0000) and F at (0.3070, 0.1952, 0.8014).

As for the total energy: -0.2899 Ry per atom.

***

13.
Material: Zn4Co3
Method: DFT, PBE-GGA
State: optimized geometry

The structure belongs to space group P6_3/m (No. 176); the cell edges are 6.9139, 6.9139 and 4.2115 Å and the angles 90.00°, 90.00° and 120.00°. The asymmetric unit holds Zn at (0.0859, 0.4575, 0.2500), Zn at (0.3333, 0.6667, 0.7500) and Co at (0.0381, 0.2200, 0.7500).

For the excess energy over the best structure of this formula in the dataset, the calculation gives 59 meV per atom. As for the total energy: -0.2717 Ry per atom. The total magnetic moment is 0.0193 μB/atom. For the formation enthalpy at 0 K, the calculation gives 72 meV/atom.

***

14.
Material: NdPuAg
Method: DFT, PBE-GGA
State: optimized geometry

The structure belongs to space group F-43m (No. 216); the cell edges are 7.0134, 7.0134 and 7.0134 Å and the angles 90.00°, 90.00° and 90.00°. The asymmetric unit holds Nd at (0.0000, 0.0000, 0.0000), Pu at (0.2500, 0.2500, 0.7500) and Ag at (0.0000, 0.0000, 0.5000).

For the excess energy over the best structure of this formula in the dataset, the calculation gives 0 meV per atom. As for the total energy: -0.4994 Ry per atom. The total magnetic moment is 2.0015 μB/atom. For the formation enthalpy at 0 K, the calculation gives 443 meV/atom.

***

15.
Material: GdEr2
Method: DFT, PBE-GGA
State: optimized geometry

The structure belongs to space group Fd-3m (No. 227, origin choice 2); the cell edges are 9.2221, 9.2221 and 9.2221 Å and the angles 90.00°, 90.00° and 90.00°. The asymmetric unit holds Gd at (0.1250, 0.1250, 0.1250) and Er at (0.0000, 0.0000, 0.5000).

As for the total energy: -0.3168 Ry per atom. The total magnetic moment is 0.1858 μB/atom. For the formation enthalpy at 0 K, the calculation gives 284 meV/atom.

***

16.
Material: CsBe2Pt2
Method: DFT, PBE-GGA
State: optimized geometry

The structure belongs to space group I4/mmm (No. 139); the cell edges are 3.7442, 3.7442 and 15.0392 Å and the angles 90.00°, 90.00° and 90.00°. The asymmetric unit holds Cs at (0.0000, 0.0000, 0.0000), Be at (0.0000, 0.5000, 0.2500) and Pt at (0.0000, 0.0000, 0.3339).

As for the total energy: -0.3147 Ry per atom. The total magnetic moment is 0.0010 μB/atom.

***

17.
Material: NpTcNi
Method: DFT, PBE-GGA
State: optimized geometry

The structure belongs to space group F-43m (No. 216); the cell edges are 6.0188, 6.0188 and 6.0188 Å and the angles 90.00°, 90.00° and 90.00°. The asymmetric unit holds Np at (0.0000, 0.0000, 0.0000), Tc at (0.2500, 0.2500, 0.2500) and Ni at (0.2500, 0.2500, 0.7500).

For the excess energy over the best structure of this formula in the dataset, the calculation gives 140 meV per atom. As for the total energy: -0.6530 Ry per atom. The total magnetic moment is 0.0152 μB/atom. For the formation enthalpy at 0 K, the calculation gives 682 meV/atom.

***

18.
Material: NbAl2Hg
Method: DFT, PBE-GGA
State: optimized geometry

The structure belongs to space group F-43m (No. 216); the cell edges are 6.6368, 6.6368 and 6.6368 Å and the angles 90.00°, 90.00° and 90.00°. The asymmetric unit holds Nb at (0.0000, 0.0000, 0.0000), Al at (0.0000, 0.0000, 0.5000), Al at (0.2500, 0.2500, 0.7500) and Hg at (0.2500, 0.2500, 0.2500).

As for the total energy: -0.2998 Ry per atom. The total magnetic moment is 0.3428 μB/atom.

***

19.
Material: SrDyGe
Method: DFT, PBE-GGA
State: optimized geometry

The structure belongs to space group F-43m (No. 216); the cell edges are 7.2341, 7.2341 and 7.2341 Å and the angles 90.00°, 90.00° and 90.00°. The asymmetric unit holds Sr at (0.0000, 0.0000, 0.0000), Dy at (0.0000, 0.0000, 0.5000) and Ge at (0.2500, 0.2500, 0.7500).

As for the total energy: -0.2960 Ry per atom. The total magnetic moment is 0.0009 μB/atom.

***

20.
Material: Hf4TlSiN2
Method: DFT, PBE-GGA
State: optimized geometry

The structure belongs to space group P-6m2 (No. 187); the cell edges are 3.2501, 3.2501 and 13.9519 Å and the angles 90.00°, 90.00° and 120.00°. The asymmetric unit holds Hf at (0.0000, 0.0000, 0.1453), Hf at (0.6667, 0.3333, 0.3232), Tl at (0.0000, 0.0000, 0.5000), Si at (0.6667, 0.3333, 0.0000) and N at (0.3333, 0.6667, 0.2363).

As for the total energy: -0.6649 Ry per atom. The total magnetic moment is 0.0006 μB/atom.